1.
Computed, not measured: a relaxed LiRu2Br crystal at the PBE level of DFT.

Cell and atoms, written as POSCAR:
```
LiRu2Br
1.0
3.181 0.000 0.000
0.000 3.181 0.000
0.000 0.000 5.824
Ru Li Br
2 1 1
Cartesian
0.000 0.000 3.140
0.000 0.000 5.596
1.591 1.591 4.368
1.591 1.591 1.456
```

The value obtained for the uncorrected formation energy is 728 meV/atom. The value obtained for the energy above the most stable polymorph in this dataset is 13.01 kcal/mol of atoms. For the density of states at the Fermi level, the calculation gives 5.72 states/eV per cell.

2.
Computed, not measured: a relaxed NaThPb6 crystal at the PBE level of DFT.

Cell and atoms, written as POSCAR:
```
NaThPb6
1.0
4.833 0.000 0.000
0.000 4.833 0.000
0.000 0.000 10.186
Pb Th Na
6 1 1
Cartesian
2.416 0.000 2.594
0.000 2.416 7.592
0.000 2.416 2.594
2.416 0.000 7.592
2.416 2.416 5.093
2.416 2.416 0.000
0.000 0.000 0.000
0.000 0.000 5.093
```

For the density of states at the Fermi level, the calculation gives 3.67 states/eV per cell. As for the formation energy: -0.16 eV/atom.

3.
Computed, not measured: a relaxed MoAuBr3 crystal at the PBE level of DFT.

Cell and atoms, written as POSCAR:
```
MoAuBr3
1.0
5.227 0.000 0.000
0.000 5.227 0.000
0.000 0.000 5.227
Mo Au Br
1 1 3
Cartesian
0.000 0.000 0.000
2.613 2.613 2.613
0.000 2.613 0.000
2.613 0.000 0.000
0.000 0.000 2.613
```

The value obtained for the uncorrected formation energy is 329 meV/atom. The value obtained for the energy above the most stable polymorph in this dataset is 0.00 kcal/mol of atoms. For the density of states at the Fermi level, the calculation gives 2.86 states/eV per cell.

4.
Computed, not measured: a relaxed Mo2HAu crystal at the PBE level of DFT.

Cell and atoms, written as POSCAR:
```
Mo2HAu
1.0
-2.887 0.261 -3.970
-1.978 -4.349 1.153
-5.921 0.255 1.279
Mo Au H
4 2 2
Cartesian
-8.290 -2.491 -1.743
-6.672 -2.238 0.140
-2.937 -0.371 -1.200
-3.672 -2.568 -0.274
0.000 0.000 0.000
-5.620 -0.764 -2.050
-5.166 -3.069 0.512
-2.432 -2.044 -1.409
```

The value obtained for the energy above the most stable polymorph in this dataset is 6.27 kcal/mol of atoms. For the density of states at the Fermi level, the calculation gives 7.36 states/eV per cell.